Entry 1:
This record from Alexandria via LeMat-Bulk describes a PBEsol-optimized structure of Sr3LiIr. The functional is SCAN.

Lattice parameters (Å, degrees): 5.800 5.800 5.800 90.00 90.00 90.00
Fractional positions:
Ir 0.000 0.000 0.000
Sr 0.000 0.000 0.500
Li 0.500 0.500 0.500
Sr 0.000 0.500 0.000
Sr 0.500 0.000 0.000

- magnetization (μB per atom) = 0.00
- E_form (eV per atom) = -0.1197

***

Entry 2:
This record from Alexandria via LeMat-Bulk describes a PBEsol-optimized structure of LiTaIr2. The functional is SCAN.

Lattice parameters (Å, degrees): 3.723 3.723 4.861 112.51 112.51 90.00
Fractional positions:
Ir 0.750 0.250 0.500
Ir 0.000 0.000 0.000
Li 0.500 0.500 0.000
Ta 0.250 0.750 0.500

- magnetization (μB per atom) = 0.00
- E_form (eV per atom) = -0.4319

***

Entry 3:
This record from Alexandria via LeMat-Bulk describes a PBEsol-optimized structure of LiTaIr2. The functional is SCAN.

Lattice parameters (Å, degrees): 4.309 4.309 4.309 60.00 60.00 60.00
Fractional positions:
Ir 0.750 0.750 0.750
Ir 0.250 0.250 0.250
Li 0.000 0.000 0.000
Ta 0.500 0.500 0.500

- magnetization (μB per atom) = 0.00
- E_form (eV per atom) = -0.7729

***

Entry 4:
This record from Alexandria via LeMat-Bulk describes a PBEsol-optimized structure of LiTaIr2. The functional is SCAN.

Lattice parameters (Å, degrees): 2.759 4.468 4.919 96.79 90.00 107.98
Fractional positions:
Ir 0.750 0.501 0.733
Ir 0.250 0.499 0.267
Li 0.000 0.000 0.500
Ta 0.500 0.000 0.000

- magnetization (μB per atom) = 0.00
- E_form (eV per atom) = -0.3391

***

Entry 5:
This record from Alexandria via LeMat-Bulk describes a PBEsol-optimized structure of Li4TaIr. The functional is SCAN.

Lattice parameters (Å, degrees): 4.717 4.717 4.717 60.00 60.00 60.00
Fractional positions:
Li 0.884 0.372 0.372
Ta 0.750 0.750 0.750
Li 0.372 0.372 0.884
Li 0.372 0.372 0.372
Ir 0.000 0.000 0.000
Li 0.372 0.884 0.372

- magnetization (μB per atom) = 0.00
- E_form (eV per atom) = 0.0942

***

Entry 6:
This record from Alexandria via LeMat-Bulk describes a PBEsol-optimized structure of LiTaIr2. The functional is SCAN.

Lattice parameters (Å, degrees): 2.739 2.739 9.476 81.69 81.69 60.00
Fractional positions:
Li 0.493 0.493 0.521
Ir 0.003 0.003 0.992
Ta 0.255 0.255 0.234
Ir 0.749 0.749 0.752

- magnetization (μB per atom) = 0.00
- E_form (eV per atom) = -0.0023

***

Entry 7:
This record from Alexandria via LeMat-Bulk describes a PBEsol-optimized structure of LiTaIr2. The functional is SCAN.

Lattice parameters (Å, degrees): 4.334 4.334 4.334 60.00 60.00 60.00
Fractional positions:
Li 0.500 0.500 0.500
Ir 0.750 0.750 0.750
Ta 0.250 0.250 0.250
Ir 0.000 0.000 0.000

- magnetization (μB per atom) = 0.00
- E_form (eV per atom) = -0.1656

***

Entry 8:
This record from Alexandria via LeMat-Bulk describes a PBEsol-optimized structure of Li2TcIr. The functional is SCAN.

Lattice parameters (Å, degrees): 2.651 2.651 9.371 90.00 90.00 116.94
Fractional positions:
Li 0.500 0.500 0.737
Li 0.000 0.000 0.021
Ir 0.500 0.500 0.254
Tc 0.000 0.000 0.489

- magnetization (μB per atom) = 0.00
- E_form (eV per atom) = 0.1264